Record 1
Compound: BeSiPS2
Source: Alexandria
Functional: PBE
Structure: optimized geometry

POSCAR file:
```
BeSiPS2
1.0
4.4228 0.0000 0.0000
0.0000 4.4228 0.0000
0.0000 0.0000 4.6110
P S Be Si
1 2 1 1
Direct
0.0000 0.0000 0.5000
0.0000 0.5000 0.0000
0.5000 0.0000 0.0000
0.5000 0.5000 0.5000
0.0000 0.0000 0.0000
```

space-group type: P4/mmm, No. 123
relative energy among the computed polymorphs: 225 meV per atom

=====

Record 2
Compound: BeSiP2S
Source: Alexandria
Functional: PBE
Structure: optimized geometry

POSCAR file:
```
BeSiP2S
1.0
4.1875 0.0000 0.0000
0.0000 4.1875 0.0000
0.0000 0.0000 4.5353
P Be Si S
2 1 1 1
Direct
0.0000 0.5000 0.0000
0.5000 0.0000 0.0000
0.0000 0.0000 0.0000
0.5000 0.5000 0.5000
0.0000 0.0000 0.5000
```

space-group type: P4/mmm, No. 123
relative energy among the computed polymorphs: 0 meV per atom

=====

Record 3
Compound: BeSiPS2
Source: Alexandria
Functional: PBE
Structure: optimized geometry

POSCAR file:
```
BeSiPS2
1.0
-1.4172 -0.6674 4.2348
2.3525 -3.8498 0.1806
3.1830 2.0099 1.3820
Si S Be P
1 2 1 1
Direct
0.5000 0.5000 0.5000
0.0000 0.5000 0.0000
0.5000 0.0000 0.0000
0.0000 0.0000 0.0000
0.0000 0.0000 0.5000
```

space-group type: P4/mmm, No. 123
relative energy among the computed polymorphs: 0 meV per atom

=====

Record 4
Compound: BeSiP2S
Source: Alexandria
Functional: PBE
Structure: optimized geometry

POSCAR file:
```
BeSiP2S
1.0
-1.7532 -4.1357 0.0485
1.1291 -0.5293 -4.3157
3.9477 -1.6590 1.2362
P S Be Si
2 1 1 1
Direct
0.0000 0.5000 0.0000
0.5000 0.0000 0.0000
0.0000 0.0000 0.5000
0.5000 0.5000 0.5000
0.0000 0.0000 0.0000
```

space-group type: P4/mmm, No. 123
relative energy among the computed polymorphs: 266 meV per atom

=====

Record 5
Compound: BeSnP2S
Source: Alexandria
Functional: PBE
Structure: optimized geometry

POSCAR file:
```
BeSnP2S
1.0
-1.4454 2.2206 4.3041
2.5242 -3.4880 2.6472
4.0616 2.8561 -0.1096
S P Sn Be
1 2 1 1
Direct
0.0000 0.0000 0.5000
0.0000 0.5000 0.0000
0.5000 0.0000 0.0000
0.0000 0.0000 0.0000
0.5000 0.5000 0.5000
```

space-group type: P4/mmm, No. 123
relative energy among the computed polymorphs: 1000 meV per atom

=====

Record 6
Compound: BeSnPS2
Source: Alexandria
Functional: PBE
Structure: optimized geometry

POSCAR file:
```
BeSnPS2
1.0
4.9608 0.0000 0.0000
0.0000 4.9608 0.0000
0.0000 0.0000 5.1194
Sn S P Be
1 2 1 1
Direct
0.0000 0.0000 0.0000
0.5000 0.0000 0.0000
0.0000 0.5000 0.0000
0.0000 0.0000 0.5000
0.5000 0.5000 0.5000
```

space-group type: P4/mmm, No. 123
relative energy among the computed polymorphs: 922 meV per atom

=====

Record 7
Compound: BeSnP2S
Source: Alexandria
Functional: PBE
Structure: optimized geometry

POSCAR file:
```
BeSnP2S
1.0
-3.1868 2.2714 1.6503
-2.6831 -1.7288 -2.8019
-0.9628 -3.6625 3.1817
P S Be Sn
2 1 1 1
Direct
0.0000 0.5000 0.0000
0.5000 0.0000 0.0000
0.0000 0.0000 0.5000
0.0000 0.0000 0.0000
0.5000 0.5000 0.5000
```

space-group type: P4/mmm, No. 123
relative energy among the computed polymorphs: 0 meV per atom

=====

Record 8
Compound: BeSnPS2
Source: Alexandria
Functional: PBE
Structure: optimized geometry

POSCAR file:
```
BeSnPS2
1.0
-1.7912 4.0122 1.7355
-2.4438 -2.4742 3.1976
3.1237 0.2711 2.5972
Sn S Be P
1 2 1 1
Direct
0.5000 0.5000 0.5000
0.0000 0.5000 0.0000
0.5000 0.0000 0.0000
0.0000 0.0000 0.0000
0.0000 0.0000 0.5000
```

space-group type: P4/mmm, No. 123
relative energy among the computed polymorphs: 0 meV per atom

=====

Record 9
Compound: SrBeP2S8
Source: Alexandria
Functional: PBE
Structure: optimized geometry

POSCAR file:
```
SrBeP2S8
1.0
5.7004 0.0000 0.0000
-2.8502 4.9367 0.0000
0.0000 0.0000 8.7061
P S Sr Be
2 8 1 1
Direct
0.6667 0.3333 0.2626
0.3333 0.6667 0.7374
0.9926 0.3067 0.6712
0.6859 0.9926 0.3288
0.3141 0.0074 0.6712
0.6667 0.3333 0.0289
0.3333 0.6667 0.9711
0.3067 0.3141 0.3288
0.6933 0.6859 0.6712
0.0074 0.6933 0.3288
0.0000 0.0000 0.0000
0.0000 0.0000 0.5000
```

space-group type: P-3, No. 147

=====

Record 10
Compound: SrBePS2
Source: Alexandria
Functional: PBE
Structure: optimized geometry

POSCAR file:
```
SrBePS2
1.0
-3.2757 -2.0402 -4.0103
1.0963 -5.1729 1.7362
-4.6765 0.2485 3.6935
Be S Sr P
1 2 1 1
Direct
0.5000 0.5000 0.5000
0.0000 0.5000 0.0000
0.5000 0.0000 0.0000
0.0000 0.0000 0.0000
0.0000 0.0000 0.5000
```

space-group type: P4/mmm, No. 123
relative energy among the computed polymorphs: 1680 meV per atom

=====

Record 11
Compound: SrBePS2
Source: Alexandria
Functional: PBE
Structure: optimized geometry

POSCAR file:
```
SrBePS2
1.0
-4.2543 -2.2463 0.6190
0.9510 -0.4976 4.7303
-1.7915 3.5966 0.7386
Sr S Be P
1 2 1 1
Direct
0.5000 0.5000 0.5000
0.5000 0.0000 0.0000
0.0000 0.5000 0.0000
0.0000 0.0000 0.0000
0.0000 0.0000 0.5000
```

space-group type: P4/mmm, No. 123
relative energy among the computed polymorphs: 0 meV per atom

=====

Record 12
Compound: TaBeP2S
Source: Alexandria
Functional: PBE
Structure: optimized geometry

POSCAR file:
```
TaBeP2S
1.0
4.0223 0.0000 0.0000
0.0000 4.0223 0.0000
0.0000 0.0000 4.6687
P Be S Ta
2 1 1 1
Direct
0.5000 0.0000 0.0000
0.0000 0.5000 0.0000
0.0000 0.0000 0.0000
0.0000 0.0000 0.5000
0.5000 0.5000 0.5000
```

space-group type: P4/mmm, No. 123
relative energy among the computed polymorphs: 0 meV per atom

=====

| no. | formation energy without anion corrections (eV per atom) |
| --- | --- |
| 1 | 0.812 |
| 2 | 0.720 |
| 3 | 0.587 |
| 4 | 0.986 |
| 5 | 1.414 |
| 6 | 1.152 |
| 7 | 0.414 |
| 8 | 0.230 |
| 9 | -0.418 |
| 10 | 1.168 |
| 11 | -0.513 |
| 12 | 0.630 |